Compound: RbPa4O10
Source: the Alexandria database
Functional: PBE
Structure: optimized geometry

Output
As for the final energy: -9.31 eV per atom. The value obtained for the total magnetization is 1.1 μB/cell. The calculation puts the uncorrected formation energy at -3.408 eV/atom.

Structure (POSCAR):
```
RbPa4O10
1.0
-1.448 -2.914 2.053
-0.267 -2.121 -3.199
14.642 -2.704 2.882
Pa O Rb
4 10 1
Direct
0.394 0.394 0.789
0.606 0.606 0.211
0.797 0.797 0.595
0.203 0.203 0.405
0.161 0.661 0.322
0.661 0.161 0.322
0.339 0.839 0.678
0.250 0.750 0.500
0.073 0.573 0.145
0.427 0.927 0.855
0.750 0.250 0.500
0.573 0.073 0.145
0.839 0.339 0.678
0.927 0.427 0.855
0.000 0.000 0.000
```